1.
Zr2NpPd | the Alexandria database | GGA-PBE | optimized geometry; space-group type = P4/mmm; spin magnetization = 3.67 μB per formula unit; DFT formation energy = -0.12 eV/atom; energy relative to the lowest polymorph listed for this composition = 0.000 kcal/mol of atoms
1.0
3.286 0.000 0.000
0.000 3.286 0.000
0.000 0.000 7.787
Zr Np Pd
2 1 1
direct
0.000 0.000 0.224
0.000 0.000 0.776
0.500 0.500 0.500
0.500 0.500 0.000

=====

2.
Mn2SiNi | the Alexandria database | GGA-PBE | optimized geometry; space-group type = R3m; spin magnetization = 0.01 μB per formula unit; energy relative to the elements, uncorrected = -83 meV per atom
1.0
2.556 0.000 0.000
-1.278 2.214 0.000
0.000 0.000 23.474
Mn Si Ni
6 3 3
direct
0.000 0.000 0.000
0.000 0.000 0.253
0.333 0.667 0.667
0.333 0.667 0.920
0.667 0.333 0.333
0.667 0.333 0.586
0.000 0.000 0.750
0.333 0.667 0.417
0.667 0.333 0.084
0.000 0.000 0.497
0.333 0.667 0.164
0.667 0.333 0.830

=====

3.
BaPr2Ga6 | the Alexandria database | GGA-PBE | optimized geometry; space-group type = P6/mmm; spin magnetization = 0.00 μB per formula unit; DFT formation energy = -0.57 eV/atom; energy relative to the lowest polymorph listed for this composition = 0.000 kcal/mol of atoms
1.0
7.556 0.000 0.000
-3.778 6.544 0.000
0.000 0.000 4.561
Ba Pr Ga
1 2 6
direct
0.000 0.000 0.000
0.333 0.667 0.000
0.667 0.333 0.000
0.000 0.339 0.500
0.000 0.661 0.500
0.339 0.000 0.500
0.339 0.339 0.500
0.661 0.000 0.500
0.661 0.661 0.500

=====

4.
K2Be | the Alexandria database | GGA-PBE | optimized geometry; space-group type = P-1; spin magnetization = 0.00 μB per formula unit; DFT formation energy = 0.48 eV/atom; energy relative to the lowest polymorph listed for this composition = 0.565 kcal/mol of atoms
1.0
4.247 0.000 0.000
0.082 6.351 0.000
1.699 0.013 11.206
K Be
4 2
direct
0.000 0.000 0.000
0.000 0.000 0.500
0.412 0.499 0.233
0.588 0.501 0.767
0.246 0.499 0.510
0.754 0.501 0.490

=====

5.
CeCoHg | the Alexandria database | GGA-PBE | optimized geometry; space-group type = P4/mmm; spin magnetization = 0.00 μB per formula unit; DFT formation energy = -0.29 eV/atom
1.0
3.614 0.000 0.000
0.000 3.614 0.000
0.000 0.000 5.148
Ce Co Hg
1 1 1
direct
0.000 0.000 0.000
0.500 0.500 0.000
0.500 0.500 0.500

=====

6.
Sr3HfPa2P6 | the Alexandria database | GGA-PBE | optimized geometry; space-group type = C2/m; spin magnetization = 0.00 μB per formula unit; DFT formation energy = -1.22 eV/atom
1.0
3.504 -6.071 0.000
3.504 6.071 0.000
-2.337 0.000 6.913
Sr Hf Pa P
3 1 2 6
direct
0.000 0.000 0.000
0.332 0.668 0.000
0.668 0.332 0.000
0.500 0.500 0.500
0.167 0.833 0.500
0.833 0.167 0.500
0.103 0.429 0.288
0.245 0.245 0.713
0.429 0.103 0.288
0.571 0.897 0.712
0.755 0.755 0.287
0.897 0.571 0.712

=====

7.
AlSeF | the Alexandria database | GGA-PBE | optimized geometry; space-group type = P2_1/c; spin magnetization = 0.00 μB per formula unit; energy relative to the lowest polymorph listed for this composition = 1.750 kcal/mol of atoms; energy relative to the elements, uncorrected = -1880 meV per atom
1.0
5.669 0.000 0.000
0.000 5.195 0.000
-2.911 0.000 8.090
Al Se F
4 4 4
direct
0.241 0.125 0.310
0.241 0.375 0.810
0.759 0.625 0.190
0.759 0.875 0.690
0.409 0.214 0.602
0.409 0.286 0.102
0.591 0.714 0.898
0.591 0.786 0.398
0.008 0.619 0.727
0.008 0.881 0.227
0.992 0.119 0.773
0.992 0.381 0.273

=====

8.
ZrNb2Zn9 | the Alexandria database | GGA-PBE | optimized geometry; space-group type = R-3m; spin magnetization = 0.00 μB per formula unit; DFT formation energy = -0.16 eV/atom
1.0
2.562 1.479 8.156
-2.562 1.479 8.156
0.000 -2.959 8.156
Zr Nb Zn
1 2 9
direct
0.000 0.000 0.000
0.145 0.145 0.145
0.855 0.855 0.855
0.078 0.590 0.590
0.335 0.335 0.335
0.410 0.410 0.922
0.410 0.922 0.410
0.500 0.500 0.500
0.590 0.078 0.590
0.590 0.590 0.078
0.665 0.665 0.665
0.922 0.410 0.410

=====

9.
LiFeCu2 | the Alexandria database | GGA-PBE | optimized geometry; space-group type = Cm; spin magnetization = 2.59 μB per formula unit; DFT formation energy = 0.11 eV/atom
1.0
8.684 0.000 0.000
0.000 2.485 0.000
-0.621 0.000 4.503
Li Fe Cu
2 2 4
direct
0.000 0.000 0.000
0.500 0.500 0.000
0.260 0.500 0.289
0.760 0.000 0.289
0.005 0.500 0.501
0.247 0.000 0.780
0.505 0.000 0.501
0.747 0.500 0.780

=====

10.
TlIn2Re | the Alexandria database | GGA-PBE | optimized geometry; space-group type = Immm; spin magnetization = 0.00 μB per formula unit; DFT formation energy = 0.53 eV/atom; energy relative to the lowest polymorph listed for this composition = 1.781 kcal/mol of atoms
1.0
2.898 0.000 0.000
0.000 4.909 0.000
0.000 0.000 13.499
Tl In Re
2 4 2
direct
0.000 0.000 0.000
0.500 0.500 0.500
0.000 0.500 0.187
0.000 0.500 0.813
0.500 0.000 0.313
0.500 0.000 0.687
0.000 0.000 0.500
0.500 0.500 0.000

=====

11.
TiRuS2 | the Alexandria database | GGA-PBE | optimized geometry; space-group type = I-42d; spin magnetization = 0.00 μB per formula unit; energy relative to the lowest polymorph listed for this composition = 0.000 kcal/mol of atoms; energy relative to the elements, uncorrected = -583 meV per atom
1.0
5.318 0.000 0.000
0.000 5.318 0.000
0.000 0.000 10.690
Ti Ru S
4 4 8
direct
0.000 0.000 0.000
0.000 0.500 0.250
0.500 0.000 0.750
0.500 0.500 0.500
0.000 0.000 0.500
0.000 0.500 0.750
0.500 0.000 0.250
0.500 0.500 0.000
0.241 0.250 0.625
0.250 0.741 0.875
0.250 0.759 0.375
0.259 0.250 0.125
0.741 0.750 0.125
0.750 0.241 0.375
0.750 0.259 0.875
0.759 0.750 0.625

=====

12.
Ba4ReBr | the Alexandria database | GGA-PBE | optimized geometry; space-group type = F-43m; spin magnetization = 1.56 μB per formula unit; energy relative to the elements, uncorrected = 966 meV per atom
1.0
0.000 5.051 5.051
5.051 0.000 5.051
5.051 5.051 0.000
Ba Re Br
4 1 1
direct
0.376 0.376 0.376
0.376 0.376 0.872
0.376 0.872 0.376
0.872 0.376 0.376
0.750 0.750 0.750
0.000 0.000 0.000